Here is a geometry-optimized Tl2AgSb structure from the Alexandria database. Energies are from PBEsol.

```
data_Tl2AgSb
_chemical_formula_sum 'Tl4 Ag2 Sb2'
_cell_length_a 8.8464
_cell_length_b 3.2691
_cell_length_c 7.2852
_cell_angle_alpha 90.00
_cell_angle_beta 96.63
_cell_angle_gamma 90.00
_space_group_name_H-M_alt 'C 1 m 1'
_space_group_IT_number 8
loop_
_space_group_symop_operation_xyz
'x,y,z'
'x,-y,z'
'x+1/2,y+1/2,z'
'x+1/2,-y+1/2,z'
loop_
_atom_site_label
_atom_site_type_symbol
_atom_site_fract_x
_atom_site_fract_y
_atom_site_fract_z
Tl1 Tl 0.0000 0.0000 0.0000
Tl2 Tl 0.2362 0.0000 0.6989
Ag1 Ag 0.2412 0.5000 0.2278
Sb1 Sb 0.4798 0.0000 0.4093
```

Results
D(E_F) = 2.738 states/eV per cell
E_form (uncorrected) = 81 meV per atom
E above lowest polymorph = 0.018 eV per atom
Calculated volume = 26.16 Å³/atom